Compound: TbHCl2
Source: Alexandria via LeMat-Bulk
Functional: GGA-PBE
Structure: relaxed

Calculated values
- theoretical density (Mg/m³) = 4.40
- raw total energy (eV per formula unit) = -18.824
- N(E_F) (states/eV/f.u.) = 0.0

Structure (extended XYZ):
```
4
Lattice="3.270 -1.888 0.000 3.270 1.888 0.000 -2.084 0.000 7.052" Properties=species:S:1:pos:R:3 pbc="T T T"
Tb 0.000 0.000 0.000
H 2.180 0.000 0.000
Cl 2.277 0.000 5.294
Cl 4.360 0.000 1.758
```

---

Compound: LiLaCl2
Source: Alexandria via LeMat-Bulk
Functional: GGA-PBE
Structure: relaxed

Calculated values
- theoretical density (Mg/m³) = 3.71
- N(E_F) (states/eV/f.u.) = 2.3
- polymorph energy (0 for the lowest one) (kJ/mol of formula units) = 135

Structure (extended XYZ):
```
4
Lattice="-1.994 1.994 6.109 1.994 -1.994 6.109 1.994 1.994 -6.109" Properties=species:S:1:pos:R:3 pbc="T T T"
Li 0.000 0.000 0.000
La 0.000 1.994 3.054
Cl 1.994 0.000 3.054
Cl 0.000 0.000 6.109
```

---

Compound: ReNiPb
Source: Alexandria via LeMat-Bulk
Functional: GGA-PBE
Structure: relaxed

Calculated values
- DFT formation energy (meV/atom) = 895
- theoretical density (Mg/m³) = 13.47
- N(E_F) (states/eV/f.u.) = 1.7
- polymorph energy (0 for the lowest one) (kJ/mol of formula units) = 56

Structure (extended XYZ):
```
3
Lattice="0.000 3.032 3.032 3.032 0.000 3.032 3.032 3.032 0.000" Properties=species:S:1:pos:R:3 pbc="T T T"
Re 0.000 0.000 0.000
Ni 4.548 4.548 4.548
Pb 3.032 3.032 3.032
```

---

Compound: CePrPaSi
Source: Alexandria via LeMat-Bulk
Functional: GGA-PBE
Structure: relaxed

Calculated values
- theoretical density (Mg/m³) = 8.87
- raw total energy (eV per formula unit) = -24.996
- N(E_F) (states/eV/f.u.) = 8.5

Structure (extended XYZ):
```
4
Lattice="0.000 3.697 3.697 3.697 0.000 3.697 3.697 3.697 0.000" Properties=species:S:1:pos:R:3 pbc="T T T"
Ce 0.000 0.000 0.000
Pr 3.697 3.697 3.697
Pa 1.849 1.849 1.849
Si 5.546 5.546 5.546
```

---

Compound: RbLa2Br8
Source: Alexandria via LeMat-Bulk
Functional: GGA-PBE
Structure: relaxed

Calculated values
- theoretical density (Mg/m³) = 4.20
- N(E_F) (states/eV/f.u.) = 5.5
- polymorph energy (0 for the lowest one) (kJ/mol of formula units) = 0

Structure (extended XYZ):
```
11
Lattice="4.642 -7.413 0.000 4.642 7.413 0.000 -0.019 0.000 5.762" Properties=species:S:1:pos:R:3 pbc="T T T"
Rb 0.000 0.000 0.000
La 4.632 2.935 2.881
La 4.632 -2.935 2.881
Br 1.771 1.982 2.891
Br 4.642 3.596 0.000
Br 1.771 -1.982 2.891
Br 4.627 0.000 1.426
Br 4.637 0.000 4.337
Br 7.493 1.982 2.871
Br 4.642 -3.596 0.000
Br 7.493 -1.982 2.871
```

---

Compound: Tb5SmCd3
Source: Alexandria via LeMat-Bulk
Functional: GGA-PBE
Structure: relaxed

Calculated values
- DFT formation energy (meV/atom) = -179
- theoretical density (Mg/m³) = 8.24
- N(E_F) (states/eV/f.u.) = 6.8

Structure (extended XYZ):
```
18
Lattice="9.238 0.000 0.000 -4.619 8.000 0.000 0.000 0.000 6.989" Properties=species:S:1:pos:R:3 pbc="T T T"
Tb -1.538 2.664 1.747
Tb -3.081 5.336 5.242
Tb 3.076 0.000 1.747
Tb 1.538 2.664 5.242
Tb 0.000 5.333 0.000
Tb 0.000 5.333 3.495
Tb 6.161 0.000 5.242
Tb 4.619 2.667 0.000
Tb 4.619 2.667 3.495
Tb 3.081 5.336 1.747
Sm 0.000 0.000 0.000
Sm 0.000 0.000 3.495
Cd -1.550 2.684 5.242
Cd -3.069 5.316 1.747
Cd 3.099 0.000 5.242
Cd 1.550 2.684 1.747
Cd 6.138 0.000 1.747
Cd 3.069 5.316 5.242
```

---

Compound: Ac2La5Tl
Source: Alexandria via LeMat-Bulk
Functional: GGA-PBE
Structure: relaxed

Calculated values
- DFT formation energy (meV/atom) = -31
- theoretical density (Mg/m³) = 7.49
- N(E_F) (states/eV/f.u.) = 12.8
- polymorph energy (0 for the lowest one) (kJ/mol of formula units) = 31

Structure (extended XYZ):
```
8
Lattice="-1.893 3.611 10.974 1.893 -3.611 10.974 1.893 3.611 -10.974" Properties=species:S:1:pos:R:3 pbc="T T T"
Ac 0.000 0.000 5.230
Ac 0.000 0.000 16.717
La 0.000 0.000 0.000
La 1.893 1.911 -2.374
La 1.893 1.911 2.374
La 0.000 1.699 8.600
La 0.000 1.699 13.347
Tl 0.000 3.611 0.000
```

---

Compound: Ca6ZnHg3
Source: Alexandria via LeMat-Bulk
Functional: GGA-PBE
Structure: relaxed

Calculated values
- DFT formation energy (meV/atom) = -359
- theoretical density (Mg/m³) = 5.18
- N(E_F) (states/eV/f.u.) = 8.2

Structure (extended XYZ):
```
20
Lattice="9.355 0.000 0.000 0.000 5.493 0.000 -3.634 0.000 11.317" Properties=species:S:1:pos:R:3 pbc="T T T"
Ca -1.369 1.373 4.591
Ca 0.710 4.120 1.935
Ca -1.198 1.373 11.284
Ca 0.240 4.120 9.358
Ca 2.156 1.373 3.712
Ca 1.441 1.373 7.096
Ca 4.280 4.120 4.221
Ca 3.565 4.120 7.604
Ca 5.481 1.373 1.959
Ca 6.919 4.120 0.033
Ca 5.011 1.373 9.382
Ca 7.090 4.120 6.726
Zn 3.783 4.120 1.192
Zn 1.938 1.373 10.125
Hg -2.923 4.120 9.973
Hg -1.446 1.373 8.067
Hg 0.984 4.120 5.337
Hg 4.737 1.373 5.980
Hg 7.167 4.120 3.250
Hg 8.644 1.373 1.344
```

---

Compound: CuPtSCl2
Source: Alexandria via LeMat-Bulk
Functional: GGA-PBE
Structure: relaxed

Calculated values
- theoretical density (Mg/m³) = 5.30
- N(E_F) (states/eV/f.u.) = 3.1
- polymorph energy (0 for the lowest one) (kJ/mol of formula units) = 0

Structure (extended XYZ):
```
5
Lattice="4.974 0.000 0.000 0.000 4.974 0.000 0.000 0.000 4.577" Properties=species:S:1:pos:R:3 pbc="T T T"
Cu 0.000 0.000 0.000
Pt 2.487 2.487 2.289
S 2.487 2.487 0.000
Cl 0.000 2.487 2.289
Cl 2.487 0.000 2.289
```

---

Compound: NdEr2Tm6Sc
Source: Alexandria via LeMat-Bulk
Functional: GGA-PBE
Structure: relaxed

Calculated values
- DFT formation energy (meV/atom) = 131
- theoretical density (Mg/m³) = 8.38
- N(E_F) (states/eV/f.u.) = 14.2

Structure (extended XYZ):
```
20
Lattice="4.513 -7.361 0.000 4.513 7.361 0.000 -0.922 0.000 9.168" Properties=species:S:1:pos:R:3 pbc="T T T"
Nd 3.821 6.953 6.876
Nd 4.282 -6.953 2.292
Er 1.809 0.776 5.057
Er 2.270 -0.776 0.473
Er 5.834 0.776 8.695
Er 6.295 -0.776 4.111
Tm 1.909 4.085 6.303
Tm 3.935 4.630 0.527
Tm 4.629 4.630 4.057
Tm 2.808 1.637 8.140
Tm 5.734 4.085 7.449
Tm 4.835 1.637 5.612
Tm 3.269 -1.637 3.556
Tm 2.370 -4.085 1.719
Tm 5.296 -1.637 1.028
Tm 3.474 -4.630 5.111
Tm 4.168 -4.630 8.641
Tm 6.194 -4.085 2.865
Sc 4.282 1.253 2.292
Sc 3.821 -1.253 6.876
```